[1]
Computed, not measured: an optimized crystal structure of K2Er2HfS6 at the GGA-PBE level of DFT.

## Properties
* symmetry: C2/m (12)
* E_form (uncorrected): -1.825 eV per atom

Unit cell a=6.716 b=6.716 c=7.874 alpha=98.42 beta=98.42 gamma=119.61
Sites, in units of the cell vectors:
1 S 0.065 0.383 0.693
2 K 0.170 0.830 0.000
3 S 0.935 0.617 0.307
4 Er 0.667 0.333 0.500
5 K 0.830 0.170 0.000
6 S 0.617 0.935 0.307
7 S 0.250 0.250 0.308
8 Er 0.333 0.667 0.500
9 Hf 0.000 0.000 0.500
10 S 0.383 0.065 0.693
11 S 0.750 0.750 0.692

---

[2]
Computed, not measured: an optimized crystal structure of Sr2ScRh at the GGA-PBE level of DFT.

## Properties
* symmetry: Immm (71)
* energy of formation: -0.81 eV per formula unit

Unit cell a=9.402 b=9.402 c=4.181 alpha=77.17 beta=77.17 gamma=21.27
Sites, in units of the cell vectors:
1 Rh 0.250 0.250 0.250
2 Sr 0.596 0.596 0.404
3 Sc 0.750 0.750 0.750
4 Sr 0.904 0.904 0.096

---

[3]
Computed, not measured: an optimized crystal structure of Li2GeHPb at the GGA-PBE level of DFT.

## Properties
* symmetry: P4/mmm (123)
* E: -3.205 eV/atom

Unit cell a=4.197 b=4.197 c=4.815 alpha=90.00 beta=90.00 gamma=90.00
Sites, in units of the cell vectors:
1 Pb 0.000 0.000 0.500
2 Li 0.000 0.500 0.000
3 Li 0.500 0.000 0.000
4 Ge 0.500 0.500 0.500
5 H 0.000 0.000 0.000

---

[4]
Computed, not measured: an optimized crystal structure of Tl2FeAu at the GGA-PBE level of DFT.

## Properties
* symmetry: Cmmm (65)
* energy of formation: 1.78 eV per formula unit

Unit cell a=5.228 b=5.228 c=3.166 alpha=89.94 beta=89.94 gamma=102.22
Each line ends with the local moment (μB).
Sites, in units of the cell vectors:
1 Fe 0.000 0.500 0.500  2.94
2 Tl 0.000 0.000 0.000  -0.02
3 Tl 0.500 0.500 0.000  -0.02
4 Au 0.500 0.000 0.500  0.01

---

Number 1: magnetic moment 0.000 μB per formula unit. Number 2: magnetic moment 0.000 μB per formula unit. Number 3: magnetic moment 0.000 μB per formula unit. Number 4: magnetic moment 2.891 μB per formula unit.